## Ac3Dy2 (PBE)

Data for crystalline Ac3Dy2 at its relaxed geometry.

Unit cell a=10.2270 b=10.2270 c=3.8384 alpha=90.00 beta=90.00 gamma=90.00
With the nearest neighbours (Å) after each atom.
Space group P4/mbm (No. 127)
Symmetry-distinct sites (fractional):
Ac 0.0000 0.0000 0.0000 x2  10 Ac 3.84-4.22, 4 Dy 4.10
Ac 0.1778 0.3222 0.5000 x4  6 Dy 3.54-3.63, 2 Ac 3.84
Dy 0.1169 0.6169 0.0000 x4  1 Dy 3.38, 6 Ac 3.54-3.63

Total moment   0.001 μB per cell

***

## Ac13Dy3 (PBE)

Data for crystalline Ac13Dy3 at its relaxed geometry.

Unit cell a=11.1513 b=10.9714 c=11.0510 alpha=90.00 beta=90.00 gamma=90.00
With the nearest neighbours (Å) after each atom.
Space group Amm2 (No. 38)
Symmetry-distinct sites (fractional):
Ac 0.0000 0.0000 0.0000 x2  10 Ac 3.81-3.97, 2 Dy 3.90
Ac 0.0000 0.0000 0.4911 x2  10 Ac 3.82-3.99, 2 Dy 3.96
Ac 0.0000 0.2445 0.2454 x4  10 Ac 3.81-3.97, 2 Dy 3.91
Ac 0.2524 0.0000 0.7467 x4  11 Ac 3.86-3.99, 1 Dy 3.93
Ac 0.2544 0.2468 0.9952 x8  3 Dy 3.84-3.95, 9 Ac 3.86-3.97
Ac 0.5000 0.0000 0.4905 x2  10 Ac 3.83-3.96, 2 Dy 3.87
Ac 0.5000 0.2442 0.2433 x4  4 Dy 3.80-3.99, 8 Ac 3.83-3.96
Dy 0.2551 0.0000 0.2417 x4  1 Dy 3.82, 11 Ac 3.83-3.96
Dy 0.5000 0.0000 0.9998 x2  10 Ac 3.80-3.99, 2 Dy 3.82

Total moment   0.000 μB per cell

***

## Ac5Dy3 (PBE)

Data for crystalline Ac5Dy3 at its relaxed geometry.

Unit cell a=3.8888 b=3.8888 c=20.9349 alpha=90.00 beta=90.00 gamma=90.00
With the nearest neighbours (Å) after each atom.
Space group P4/mmm (No. 123)
Symmetry-distinct sites (fractional):
Ac 0.0000 0.0000 0.0000 x1  8 Dy 3.71, 4 Ac 3.89
Ac 0.0000 0.0000 0.2409 x2  4 Dy 3.75, 8 Ac 3.89-3.98
Ac 0.5000 0.5000 0.3783 x2  4 Dy 3.75, 8 Ac 3.89-3.98
Dy 0.0000 0.0000 0.5000 x1  8 Ac 3.75, 4 Dy 3.89
Dy 0.5000 0.5000 0.1192 x2  8 Ac 3.71-3.75, 4 Dy 3.89

Total moment   0.000 μB per cell

***

no.,E_form (kJ per mole of atoms),volume (Å³/cell),VASP energy (eV/atom)
1,10.4,401.5,-4.1977
2,3.7,1352.0,-4.1625
3,5.2,316.6,-4.2393